TiBIr: optimized geometry, PBE.

Values from the calculation:
- Crystal system: hexagonal
- Formation enthalpy at 0 K: -0.5058 eV/atom
- D(E_F): 2.1 states/eV per cell
- Energy: -8.317 eV per atom
- Distance to the lowest polymorph of the same formula: 0.219 eV/atom

Lattice parameters (Å, degrees): 3.8761 3.8761 2.8951 90.00 90.00 120.00
Space group P-6m2 (No. 187)
One atom of each set of equivalent atoms:
Ti: 0.0000 0.0000 0.0000
B: 0.3333 0.6667 0.5000
Ir: 0.6667 0.3333 0.5000

=====

TiB2Ir: optimized geometry, PBE.

Values from the calculation:
- Crystal system: tetragonal
- Formation enthalpy at 0 K: -0.0299 eV/atom
- D(E_F): 11.4 states/eV per cell
- Energy: -7.558 eV per atom
- Distance to the lowest polymorph of the same formula: 0.058 eV/atom

Lattice parameters (Å, degrees): 3.712 3.712 14.884 90.00 90.00 90.00
Space group I4_1/amd (No. 141, origin choice 2)
One atom of each set of equivalent atoms:
Ti: 0.000 0.250 0.375
B: 0.000 0.000 0.000
Ir: 0.000 0.250 0.875

=====

Ti2BIr2: optimized geometry, PBE.

Values from the calculation:
- Crystal system: tetragonal
- Formation enthalpy at 0 K: 0.4125 eV/atom
- D(E_F): 6.9 states/eV per cell
- Energy: -7.625 eV per atom
- Distance to the lowest polymorph of the same formula: 0.262 eV/atom

Lattice parameters (Å, degrees): 3.692 3.692 12.266 90.00 90.00 90.00
Space group I4/mmm (No. 139)
One atom of each set of equivalent atoms:
Ti: 0.000 0.000 0.107
B: 0.000 0.000 0.500
Ir: 0.000 0.500 0.250

=====

Ti2B2Ir: optimized geometry, PBE.

Values from the calculation:
- Crystal system: tetragonal
- Formation enthalpy at 0 K: -0.9433 eV/atom
- D(E_F): 5.2 states/eV per cell
- Energy: -8.544 eV per atom

Lattice parameters (Å, degrees): 5.745 5.745 3.396 90.00 90.00 90.00
Space group P4/mbm (No. 127)
One atom of each set of equivalent atoms:
Ti: 0.175 0.325 0.000
B: 0.112 0.612 0.500
Ir: 0.000 0.000 0.500

=====

TiB2Ir2: optimized geometry, PBE.

Values from the calculation:
- Crystal system: tetragonal
- Formation enthalpy at 0 K: -0.2672 eV/atom
- D(E_F): 7.9 states/eV per cell
- Energy: -8.062 eV per atom

Lattice parameters (Å, degrees): 6.454 6.454 2.714 90.00 90.00 90.00
Space group P4/mbm (No. 127)
One atom of each set of equivalent atoms:
Ti: 0.000 0.000 0.000
B: 0.151 0.349 0.000
Ir: 0.151 0.651 0.500

=====

TiBIr2: optimized geometry, PBE.

Values from the calculation:
- Crystal system: tetragonal
- Formation enthalpy at 0 K: -0.3953 eV/atom
- D(E_F): 16.3 states/eV per cell
- Energy: -8.469 eV per atom

Lattice parameters (Å, degrees): 6.693 6.693 4.927 90.00 90.00 90.00
Space group I-42d (No. 122)
One atom of each set of equivalent atoms:
Ti: 0.000 0.000 0.000
B: 0.000 0.000 0.500
Ir: 0.153 0.250 0.625